[1]
DyMgTlAg: relaxed, PBE.

CIF file:
```
data_DyMgTlAg
_cell_length_a 7.1699
_cell_length_b 7.1699
_cell_length_c 7.1699
_cell_angle_alpha 90.00
_cell_angle_beta 90.00
_cell_angle_gamma 90.00
_space_group_name_H-M_alt 'F -4 3 m'
_space_group_IT_number 216
_space_group_name_Hall 'F -4 2 3'
loop_
_atom_site_label
_atom_site_fract_x
_atom_site_fract_y
_atom_site_fract_z
_atom_site_occupancy
Dy1 0.0000 0.0000 0.0000 1
Mg1 0.0000 0.0000 0.5000 1
Tl1 0.2500 0.2500 0.2500 1
Ag1 0.2500 0.2500 0.7500 1
```

Computed properties:
- ΔE_f (kJ/mol of formula units) = -113
- crystal system = cubic

---

[2]
NdHo4Ge4: relaxed, PBE.

CIF file:
```
data_NdHo4Ge4
_cell_length_a 9.2867
_cell_length_b 9.2867
_cell_length_c 5.7739
_cell_angle_alpha 90.00
_cell_angle_beta 90.00
_cell_angle_gamma 90.00
_space_group_name_H-M_alt 'P 42/n'
_space_group_IT_number 86
loop_
_space_group_symop_operation_xyz
'x,y,z'
'-x,-y,-z'
'-y,x+1/2,z+1/2'
'y,-x+1/2,-z+1/2'
'-x+1/2,-y+1/2,z'
'x+1/2,y+1/2,-z'
'y+1/2,-x,z+1/2'
'-y+1/2,x,-z+1/2'
loop_
_atom_site_label
_atom_site_fract_x
_atom_site_fract_y
_atom_site_fract_z
_atom_site_occupancy
Nd1 0.2500 0.2500 0.2500 1
Ho1 0.0924 0.6458 0.1383 1
Ge1 0.0401 0.6066 0.6440 1
```

Computed properties:
- ΔE_f (kJ/mol of formula units) = -502
- crystal system = tetragonal

---

[3]
Nd2Al3Ga2: relaxed, PBE.

CIF file:
```
data_Nd2Al3Ga2
_cell_length_a 4.0565
_cell_length_b 19.2766
_cell_length_c 4.1286
_cell_angle_alpha 90.00
_cell_angle_beta 90.00
_cell_angle_gamma 90.00
_space_group_name_H-M_alt 'C m m m'
_space_group_IT_number 65
_space_group_name_Hall '-C 2 2'
loop_
_atom_site_label
_atom_site_fract_x
_atom_site_fract_y
_atom_site_fract_z
_atom_site_occupancy
Nd1 0.0000 0.1621 0.0000 1
Al1 0.0000 0.0000 0.0000 1
Al2 0.0000 0.4301 0.5000 1
Ga1 0.0000 0.2886 0.5000 1
```

Computed properties:
- ΔE_f (kJ/mol of formula units) = -198
- crystal system = orthorhombic

---

[4]
HoBe2SiIr: relaxed, PBE.

CIF file:
```
data_HoBe2SiIr
_cell_length_a 3.8127
_cell_length_b 3.8608
_cell_length_c 9.9819
_cell_angle_alpha 90.00
_cell_angle_beta 90.00
_cell_angle_gamma 90.00
_space_group_name_H-M_alt 'I m m 2'
_space_group_IT_number 44
loop_
_space_group_symop_operation_xyz
'x,y,z'
'-x,-y,z'
'-x,y,z'
'x,-y,z'
'x+1/2,y+1/2,z+1/2'
'-x+1/2,-y+1/2,z+1/2'
'-x+1/2,y+1/2,z+1/2'
'x+1/2,-y+1/2,z+1/2'
loop_
_atom_site_label
_atom_site_fract_x
_atom_site_fract_y
_atom_site_fract_z
_atom_site_occupancy
Ho1 0.0000 0.0000 0.0000 1
Be1 0.0000 0.0000 0.6202 1
Be2 0.0000 0.5000 0.2480 1
Si1 0.0000 0.0000 0.3828 1
Ir1 0.0000 0.5000 0.7409 1
```

Computed properties:
- VASP energy (eV/cell) = -58.35
- crystal system = orthorhombic

---

[5]
AcCdGa2: relaxed, PBE.

CIF file:
```
data_AcCdGa2
_cell_length_a 8.1039
_cell_length_b 4.3680
_cell_length_c 11.3901
_cell_angle_alpha 90.00
_cell_angle_beta 90.00
_cell_angle_gamma 90.00
_space_group_name_H-M_alt 'P n m a'
_space_group_IT_number 62
loop_
_space_group_symop_operation_xyz
'x,y,z'
'-x,-y,-z'
'-x+1/2,-y,z+1/2'
'x+1/2,y,-z+1/2'
'x+1/2,-y+1/2,-z+1/2'
'-x+1/2,y+1/2,z+1/2'
'-x,y+1/2,-z'
'x,-y+1/2,z'
loop_
_atom_site_label
_atom_site_fract_x
_atom_site_fract_y
_atom_site_fract_z
_atom_site_occupancy
Ac1 0.1384 0.2500 0.1356 1
Cd1 0.0055 0.2500 0.6161 1
Ga1 0.1620 0.2500 0.8346 1
Ga2 0.2353 0.2500 0.4335 1
```

Computed properties:
- ΔE_f (kJ/mol of formula units) = -183
- crystal system = orthorhombic

---

[6]
Ho2ErHg3: relaxed, PBE.

CIF file:
```
data_Ho2ErHg3
_cell_length_a 3.7095
_cell_length_b 3.7095
_cell_length_c 11.0574
_cell_angle_alpha 90.00
_cell_angle_beta 90.00
_cell_angle_gamma 90.00
_space_group_name_H-M_alt 'P 4/m m m'
_space_group_IT_number 123
_space_group_name_Hall '-P 4 2'
loop_
_atom_site_label
_atom_site_fract_x
_atom_site_fract_y
_atom_site_fract_z
_atom_site_occupancy
Ho1 0.0000 0.0000 0.1671 1
Er1 0.0000 0.0000 0.5000 1
Hg1 0.5000 0.5000 0.0000 1
Hg2 0.5000 0.5000 0.3347 1
```

Computed properties:
- ΔE_f (kJ/mol of formula units) = -278
- crystal system = tetragonal

---

[7]
Li2Ca7Pd: relaxed, PBE.

CIF file:
```
data_Li2Ca7Pd
_cell_length_a 16.1418
_cell_length_b 9.5663
_cell_length_c 11.0023
_cell_angle_alpha 90.00
_cell_angle_beta 126.84
_cell_angle_gamma 90.00
_space_group_name_H-M_alt 'C 1 2/c 1'
_space_group_IT_number 15
loop_
_space_group_symop_operation_xyz
'x,y,z'
'-x,-y,-z'
'-x,y,-z+1/2'
'x,-y,z+1/2'
'x+1/2,y+1/2,z'
'-x+1/2,-y+1/2,-z'
'-x+1/2,y+1/2,-z+1/2'
'x+1/2,-y+1/2,z+1/2'
loop_
_atom_site_label
_atom_site_fract_x
_atom_site_fract_y
_atom_site_fract_z
_atom_site_occupancy
Li1 0.1514 0.0000 0.1044 1
Ca1 0.0000 0.0880 0.2500 1
Ca2 0.0863 0.3444 0.1054 1
Ca3 0.1359 0.2675 0.7958 1
Ca4 0.1969 0.3962 0.5194 1
Pd1 0.0000 0.4986 0.2500 1
```

Computed properties:
- ΔE_f (kJ/mol of formula units) = -128
- crystal system = monoclinic

---

[8]
GdAg: relaxed, PBE.

CIF file:
```
data_GdAg
_cell_length_a 6.0858
_cell_length_b 6.0858
_cell_length_c 6.0858
_cell_angle_alpha 90.00
_cell_angle_beta 90.00
_cell_angle_gamma 90.00
_space_group_name_H-M_alt 'F m -3 m'
_space_group_IT_number 225
_space_group_name_Hall '-F 4 2 3'
loop_
_atom_site_label
_atom_site_fract_x
_atom_site_fract_y
_atom_site_fract_z
_atom_site_occupancy
Gd1 0.0000 0.0000 0.0000 1
Ag1 0.0000 0.0000 0.5000 1
```

Computed properties:
- ΔE_f (kJ/mol of formula units) = -12
- crystal system = cubic

---

[9]
MnCu2Ag: relaxed, PBE.

CIF file:
```
data_MnCu2Ag
_cell_length_a 9.0768
_cell_length_b 2.8262
_cell_length_c 4.5493
_cell_angle_alpha 90.00
_cell_angle_beta 103.79
_cell_angle_gamma 90.00
_space_group_name_H-M_alt 'C 1 m 1'
_space_group_IT_number 8
loop_
_space_group_symop_operation_xyz
'x,y,z'
'x,-y,z'
'x+1/2,y+1/2,z'
'x+1/2,-y+1/2,z'
loop_
_atom_site_label
_atom_site_fract_x
_atom_site_fract_y
_atom_site_fract_z
_atom_site_occupancy
Mn1 0.0000 0.0000 0.0000 1
Cu1 0.0153 0.5000 0.5251 1
Cu2 0.2526 0.0000 0.7731 1
Ag1 0.2608 0.5000 0.2789 1
```

Computed properties:
- ΔE_f (kJ/mol of formula units) = 72
- crystal system = monoclinic

---

[10]
Na3IrCl8: relaxed, PBE.

CIF file:
```
data_Na3IrCl8
_cell_length_a 7.2040
_cell_length_b 11.5723
_cell_length_c 8.2876
_cell_angle_alpha 90.00
_cell_angle_beta 90.00
_cell_angle_gamma 90.00
_space_group_name_H-M_alt 'C 2 2 2'
_space_group_IT_number 21
loop_
_space_group_symop_operation_xyz
'x,y,z'
'-x,-y,z'
'x,-y,-z'
'-x,y,-z'
'x+1/2,y+1/2,z'
'-x+1/2,-y+1/2,z'
'x+1/2,-y+1/2,-z'
'-x+1/2,y+1/2,-z'
loop_
_atom_site_label
_atom_site_fract_x
_atom_site_fract_y
_atom_site_fract_z
_atom_site_occupancy
Na1 0.0000 0.0000 0.0000 1
Na2 0.2500 0.2500 0.7578 1
Ir1 0.0000 0.0000 0.5000 1
Cl1 0.0000 0.2014 0.5000 1
Cl2 0.0000 0.2346 0.0000 1
Cl3 0.2294 0.0024 0.6994 1
```

Computed properties:
- VASP energy (eV/cell) = -79.58
- crystal system = orthorhombic

---

[11]
CuSiAg2Se4: relaxed, PBE.

CIF file:
```
data_CuSiAg2Se4
_cell_length_a 5.9121
_cell_length_b 5.9121
_cell_length_c 11.0578
_cell_angle_alpha 90.00
_cell_angle_beta 90.00
_cell_angle_gamma 90.00
_space_group_name_H-M_alt 'I -4'
_space_group_IT_number 82
loop_
_space_group_symop_operation_xyz
'x,y,z'
'y,-x,-z'
'-x,-y,z'
'-y,x,-z'
'x+1/2,y+1/2,z+1/2'
'y+1/2,-x+1/2,-z+1/2'
'-x+1/2,-y+1/2,z+1/2'
'-y+1/2,x+1/2,-z+1/2'
loop_
_atom_site_label
_atom_site_fract_x
_atom_site_fract_y
_atom_site_fract_z
_atom_site_occupancy
Cu1 0.0000 0.0000 0.0000 1
Si1 0.0000 0.5000 0.2500 1
Ag1 0.0000 0.0000 0.5000 1
Ag2 0.0000 0.5000 0.7500 1
Se1 0.2090 0.2593 0.1276 1
```

Computed properties:
- VASP energy (eV/cell) = -62.09
- crystal system = tetragonal

---

[12]
Na2CeMgF8: relaxed, PBE.

CIF file:
```
data_Na2CeMgF8
_cell_length_a 4.0039
_cell_length_b 7.3774
_cell_length_c 5.4943
_cell_angle_alpha 90.00
_cell_angle_beta 94.07
_cell_angle_gamma 90.00
_space_group_name_H-M_alt 'P 1 2/m 1'
_space_group_IT_number 10
loop_
_space_group_symop_operation_xyz
'x,y,z'
'-x,-y,-z'
'-x,y,-z'
'x,-y,z'
loop_
_atom_site_label
_atom_site_fract_x
_atom_site_fract_y
_atom_site_fract_z
_atom_site_occupancy
Na1 0.0000 0.2214 0.0000 1
Ce1 0.5000 0.5000 0.5000 1
Mg1 0.5000 0.0000 0.5000 1
F1 0.0215 0.5000 0.2638 1
F2 0.0964 0.0000 0.2790 1
F3 0.4455 0.2531 0.7251 1
```

Computed properties:
- VASP energy (eV/cell) = -64.77
- crystal system = monoclinic